*a*
The following is a DFT calculation (GGA+U) of a relaxed structure of VClF.

abc: 3.5044 3.5044 5.3906
angles: 90.00 90.00 120.00
Space group P3m1 (No. 156)
Asymmetric unit:
1 V 0.0000 0.0000 0.0000 (multiplicity 1)
2 Cl 0.6667 0.3333 0.2707 (multiplicity 1)
3 F 0.3333 0.6667 0.8362 (multiplicity 1)



*b*
The following is a DFT calculation (GGA+U) of a relaxed structure of VClF.

abc: 3.511 6.061 6.286
angles: 71.20 74.13 89.99
Space group P-1 (No. 2)
Asymmetric unit:
1 V 0.249 0.265 0.002 (multiplicity 2)
2 Cl 0.128 0.834 0.250 (multiplicity 2)
3 F 0.328 0.636 0.841 (multiplicity 2)



Name the most stable of them. *b*.



*a*
The following is a DFT calculation (GGA+U) of a relaxed structure of W2ClF.

abc: 6.209 6.209 6.209
angles: 90.00 90.00 90.00
Space group Fm-3m (No. 225)
Asymmetric unit:
1 W 0.250 0.250 0.250 (multiplicity 8)
2 Cl 0.000 0.000 0.000 (multiplicity 4)
3 F 0.000 0.000 0.500 (multiplicity 4)



*b*
The following is a DFT calculation (GGA+U) of a relaxed structure of W2ClF.

abc: 5.304 5.304 10.562
angles: 90.00 90.00 90.00
Space group I-42d (No. 122)
Asymmetric unit:
1 W 0.221 0.250 0.125 (multiplicity 8)
2 Cl 0.000 0.000 0.500 (multiplicity 4)
3 F 0.000 0.000 0.000 (multiplicity 4)



Name the most stable of them. *b*.